Below is a relaxed YSc2Au6 crystal, with properties calculated at the GGA-PBE level.

The space group is C2/m (No. 12) and the conventional cell measures 5.118, 15.535 and 5.146 Å, with angles of 90.00, 119.36 and 90.00 degrees. The inequivalent atoms are Y at (0.000, 0.000, 0.000), Sc at (0.000, 0.334, 0.500), Au at (0.157, 0.500, 0.330) and Au at (0.166, 0.170, 0.828).

The value obtained for the density of states at the Fermi level is 8.60 states/eV/cell. The value obtained for the energy of formation is -743 meV/atom. The density is 12.67 g cm⁻³.